one) Computed, not measured: crystalline PmMgInGa at its relaxed geometry at the PBE level of DFT.

```
PmMgInGa
1.0
-2.075 0.589 -3.899
-3.102 -3.055 1.189
-2.608 3.389 1.900
Pm Mg In Ga
1 1 1 1
direct
0.000 0.000 0.000 Pm
0.000 0.500 0.500 Mg
0.500 0.000 0.500 In
0.500 0.500 0.000 Ga
```

Output
Magnetic moment: 0.000 μB per formula unit
SG: Pmmm (47)

***

two) Computed, not measured: crystalline PmMgInGa at its relaxed geometry at the PBE level of DFT.

```
PmMgInGa
1.0
5.136 0.000 0.000
2.568 4.448 0.000
2.568 1.483 4.193
Mg In Ga Pm
1 1 1 1
direct
0.500 0.500 0.500 Mg
0.750 0.750 0.750 In
0.250 0.250 0.250 Ga
0.000 0.000 0.000 Pm
```

Output
Magnetic moment: 0.000 μB per formula unit
SG: F-43m (216)

***

Most stable structure among those shown: one). Next: +92 meV per atom.